(1)
{"formula": "NaBe2GaCl6", "functional": "PBE-GGA", "state": "optimized geometry", "e_form_raw_ev_per_atom": -1.340, "lattice_angstrom": [[-4.374, 7.272, 1.654], [-6.599, -4.131, 3.760], [4.374, 0.049, 4.889]], "species": ["Ga", "Ga", "Cl", "Cl", "Cl", "Cl", "Cl", "Cl", "Cl", "Cl", "Cl", "Cl", "Cl", "Cl", "Na", "Na", "Be", "Be", "Be", "Be"], "frac_coords": [[0.192, 0.808, 0.250], [0.808, 0.192, 0.750], [0.536, 0.709, 0.167], [0.184, 0.119, 0.012], [0.087, 0.617, 0.831], [0.881, 0.816, 0.488], [0.816, 0.881, 0.988], [0.119, 0.184, 0.512], [0.464, 0.291, 0.833], [0.709, 0.536, 0.667], [0.291, 0.464, 0.333], [0.383, 0.913, 0.669], [0.617, 0.087, 0.331], [0.913, 0.383, 0.169], [0.605, 0.395, 0.250], [0.395, 0.605, 0.750], [0.701, 0.870, 0.243], [0.299, 0.130, 0.757], [0.870, 0.701, 0.743], [0.130, 0.299, 0.257]]}

(2)
{"formula": "BeGaP2Cl", "functional": "PBE-GGA", "state": "optimized geometry", "e_form_raw_ev_per_atom": 0.296, "e_above_lowest_polymorph_mev_per_atom": 0, "lattice_angstrom": [[-2.670, -2.858, 1.188], [-1.131, -0.559, -3.888], [4.999, -4.978, -0.738]], "species": ["Cl", "P", "P", "Be", "Ga"], "frac_coords": [[0.000, 0.000, 0.500], [0.500, 0.000, 0.000], [0.000, 0.500, 0.000], [0.000, 0.000, 0.000], [0.500, 0.500, 0.500]]}

(3)
{"formula": "BeGaP2Cl", "functional": "PBE-GGA", "state": "optimized geometry", "e_form_raw_ev_per_atom": 0.993, "e_above_lowest_polymorph_mev_per_atom": 697, "lattice_angstrom": [[4.724, 0.000, 0.000], [0.000, 4.724, 0.000], [0.000, 0.000, 4.790]], "species": ["Ga", "P", "P", "Cl", "Be"], "frac_coords": [[0.000, 0.000, 0.000], [0.000, 0.500, 0.000], [0.500, 0.000, 0.000], [0.000, 0.000, 0.500], [0.500, 0.500, 0.500]]}

(4)
{"formula": "Be2GaRuCl", "functional": "PBE-GGA", "state": "optimized geometry", "e_form_raw_ev_per_atom": 0.484, "lattice_angstrom": [[-3.787, 1.395, -1.499], [-2.150, -3.999, 1.709], [-0.744, 1.998, 3.740]], "species": ["Ru", "Be", "Be", "Ga", "Cl"], "frac_coords": [[0.000, 0.000, 0.000], [0.500, 0.000, 0.000], [0.000, 0.000, 0.500], [0.000, 0.500, 0.000], [0.500, 0.500, 0.500]]}

(5)
{"formula": "BeGaS2Cl", "functional": "PBE-GGA", "state": "optimized geometry", "e_form_raw_ev_per_atom": -0.117, "e_above_lowest_polymorph_mev_per_atom": 0, "lattice_angstrom": [[4.113, 0.000, 0.000], [0.000, 4.113, 0.000], [0.000, 0.000, 6.358]], "species": ["S", "S", "Cl", "Ga", "Be"], "frac_coords": [[0.500, 0.000, 0.000], [0.000, 0.500, 0.000], [0.000, 0.000, 0.500], [0.500, 0.500, 0.500], [0.000, 0.000, 0.000]]}

(6)
{"formula": "BeGaS2Cl", "functional": "PBE-GGA", "state": "optimized geometry", "e_form_raw_ev_per_atom": 0.472, "e_above_lowest_polymorph_mev_per_atom": 589, "lattice_angstrom": [[4.736, 0.000, 0.000], [0.000, 4.736, 0.000], [0.000, 0.000, 4.654]], "species": ["Ga", "S", "S", "Cl", "Be"], "frac_coords": [[0.000, 0.000, 0.000], [0.500, 0.000, 0.000], [0.000, 0.500, 0.000], [0.000, 0.000, 0.500], [0.500, 0.500, 0.500]]}

Repeat the second record exactly.
{"formula": "BeGaP2Cl", "functional": "PBE-GGA", "state": "optimized geometry", "e_form_raw_ev_per_atom": 0.296, "e_above_lowest_polymorph_mev_per_atom": 0, "lattice_angstrom": [[-2.670, -2.858, 1.188], [-1.131, -0.559, -3.888], [4.999, -4.978, -0.738]], "species": ["Cl", "P", "P", "Be", "Ga"], "frac_coords": [[0.000, 0.000, 0.500], [0.500, 0.000, 0.000], [0.000, 0.500, 0.000], [0.000, 0.000, 0.000], [0.500, 0.500, 0.500]]}